Record 1
Here is a PBEsol-optimized structure of TiZnPt2O from Alexandria via LeMat-Bulk. Energies are from SCAN.

Properties
**Energy relative to the elements, uncorrected**: -415 meV per atom
**V**: 14.35 Å³ per atom
**D(E_F)**: 0.610 states/eV/atom
**Energy**: -178.24 eV/cell
**Space-group type**: P4/mmm, No. 123

Cell: 4.370 4.370 3.756 Å, 90.00 90.00 90.00°
Atoms (fractional coordinates):
Ti: 0.000 0.000 0.000
Zn: 0.500 0.500 0.000
Pt: 0.000 0.500 0.500
Pt: 0.500 0.000 0.500
O: 0.000 0.000 0.500

Record 2
Here is a PBEsol-optimized structure of AlSb2IrI from Alexandria via LeMat-Bulk. Energies are from SCAN.

Properties
**Energy relative to the elements, uncorrected**: 1374 meV per atom
**V**: 26.05 Å³ per atom
**D(E_F)**: 0.489 states/eV/atom
**Energy**: -183.24 eV/cell
**Space-group type**: P4/mmm, No. 123

Cell: 5.062 5.062 5.082 Å, 90.00 90.00 90.00°
Atoms (fractional coordinates):
Al: 0.000 0.000 0.000
Sb: 0.000 0.500 0.000
Sb: 0.500 0.000 0.000
Ir: 0.500 0.500 0.500
I: 0.000 0.000 0.500

Record 3
Here is a PBEsol-optimized structure of POsRu2 from Alexandria via LeMat-Bulk. Energies are from SCAN.

Properties
**ΔH_f (0 K)**: 0.380 eV/atom
**V**: 13.24 Å³ per atom
**D(E_F)**: 0.984 states/eV/atom
**Energy**: -150.41 eV/cell
**Space-group type**: Pmmm, No. 47

Cell: 2.792 4.349 4.362 Å, 90.00 90.00 90.00°
Atoms (fractional coordinates):
P: 0.000 0.000 0.000
Os: 0.500 0.500 0.000
Ru: 0.000 0.500 0.500
Ru: 0.500 0.000 0.500

Record 4
Here is a PBEsol-optimized structure of MnAlAs2 from Alexandria via LeMat-Bulk. Energies are from SCAN.

Properties
**ΔH_f (0 K)**: 0.110 eV/atom
**V**: 16.04 Å³ per atom
**D(E_F)**: 0.530 states/eV/atom
**Energy**: -65.95 eV/cell
**Space-group type**: R-3m, No. 166

Cell: 9.005 9.005 9.005 Å, 18.49 18.49 18.49°
Atoms (fractional coordinates):
Mn: 0.000 0.000 0.000
Al: 0.500 0.500 0.500
As: 0.268 0.268 0.268
As: 0.732 0.732 0.732

Record 5
Here is a PBEsol-optimized structure of Zr3Mn8Si from Alexandria via LeMat-Bulk. Energies are from SCAN.

Properties
**Energy relative to the elements, uncorrected**: -133 meV per atom
**V**: 13.02 Å³ per atom
**D(E_F)**: 0.947 states/eV/atom
**Energy**: -249.75 eV/cell
**Space-group type**: P3m1, No. 156

Cell: 4.773 4.773 7.922 Å, 90.00 90.00 120.00°
Atoms (fractional coordinates):
Zr: 0.000 0.000 0.000
Zr: 0.000 0.000 0.379
Zr: 0.333 0.667 0.858
Mn: 0.015 0.507 0.191
Mn: 0.325 0.163 0.679
Mn: 0.493 0.507 0.191
Mn: 0.493 0.985 0.191
Mn: 0.667 0.333 0.437
Mn: 0.667 0.333 0.946
Mn: 0.837 0.163 0.679
Mn: 0.837 0.675 0.679
Si: 0.333 0.667 0.497

Record 6
Here is a PBEsol-optimized structure of MnFeAg2 from Alexandria via LeMat-Bulk. Energies are from SCAN.

Properties
**ΔH_f (0 K)**: 0.182 eV/atom
**V**: 14.61 Å³ per atom
**D(E_F)**: 0.503 states/eV/atom
**Energy**: -98.39 eV/cell
**Space-group type**: I4/mmm, No. 139

Cell: 4.800 4.800 4.800 Å, 132.81 132.81 68.96°
Atoms (fractional coordinates):
Mn: 0.000 0.000 0.000
Fe: 0.500 0.500 0.000
Ag: 0.250 0.750 0.500
Ag: 0.750 0.250 0.500

Record 7
Here is a PBEsol-optimized structure of SiPbBr from Alexandria via LeMat-Bulk. Energies are from SCAN.

Properties
**Energy relative to the elements, uncorrected**: 976 meV per atom
**V**: 28.21 Å³ per atom
**D(E_F)**: 0.794 states/eV/atom
**Energy**: -102.33 eV/cell
**Space-group type**: F-43m, No. 216

Cell: 4.928 4.928 4.928 Å, 60.00 60.00 60.00°
Atoms (fractional coordinates):
Si: 0.000 0.000 0.000
Pb: 0.500 0.500 0.500
Br: 0.250 0.250 0.250

Record 8
Here is a PBEsol-optimized structure of KTl2CrF6 from Alexandria via LeMat-Bulk. Energies are from SCAN.

Properties
**Energy relative to the elements, uncorrected**: -2651 meV per atom
**V**: 16.76 Å³ per atom
**D(E_F)**: 0.000 states/eV/atom
**Energy**: -219.18 eV/cell
**Space-group type**: Fm-3m, No. 225

Cell: 6.189 6.189 6.189 Å, 60.00 60.00 60.00°
Atoms (fractional coordinates):
K: 0.000 0.000 0.000
Tl: 0.250 0.250 0.250
Tl: 0.750 0.750 0.750
Cr: 0.500 0.500 0.500
F: 0.282 0.282 0.718
F: 0.282 0.718 0.282
F: 0.282 0.718 0.718
F: 0.718 0.282 0.282
F: 0.718 0.282 0.718
F: 0.718 0.718 0.282

Record 9
Here is a PBEsol-optimized structure of ScTa2H from Alexandria via LeMat-Bulk. Energies are from SCAN.

Properties
**V**: 16.76 Å³ per atom
**D(E_F)**: 1.532 states/eV/atom
**Energy**: -300.42 eV/cell
**Space-group type**: Fd-3m, No. 227

Cell: 5.745 5.745 5.745 Å, 60.00 60.00 60.00°
Atoms (fractional coordinates):
Sc: 0.125 0.125 0.125
Sc: 0.875 0.875 0.875
Ta: 0.000 0.500 0.500
Ta: 0.500 0.000 0.500
Ta: 0.500 0.500 0.000
Ta: 0.500 0.500 0.500
H: 0.375 0.375 0.375
H: 0.625 0.625 0.625

Record 10
Here is a PBEsol-optimized structure of Tb2ZnCu from Alexandria via LeMat-Bulk. Energies are from SCAN.

Properties
**ΔH_f (0 K)**: -0.351 eV/atom
**V**: 20.79 Å³ per atom
**D(E_F)**: 0.548 states/eV/atom
**Energy**: -123.64 eV/cell
**Space-group type**: P4/mmm, No. 123

Cell: 3.477 3.477 6.878 Å, 90.00 90.00 90.00°
Atoms (fractional coordinates):
Tb: 0.000 0.000 0.244
Tb: 0.000 0.000 0.756
Zn: 0.500 0.500 0.500
Cu: 0.500 0.500 0.000

Record 11
Here is a PBEsol-optimized structure of MgSeN2 from Alexandria via LeMat-Bulk. Energies are from SCAN.

Properties
**Energy relative to the elements, uncorrected**: 874 meV per atom
**V**: 13.36 Å³ per atom
**D(E_F)**: 0.498 states/eV/atom
**Energy**: -40.14 eV/cell
**Space-group type**: R-3m, No. 166

Cell: 6.395 6.395 6.395 Å, 28.74 28.74 28.74°
Atoms (fractional coordinates):
Mg: 0.000 0.000 0.000
Se: 0.500 0.500 0.500
N: 0.107 0.107 0.107
N: 0.893 0.893 0.893

Record 12
Here is a PBEsol-optimized structure of CsGa7 from Alexandria via LeMat-Bulk. Energies are from SCAN.

Properties
**ΔH_f (0 K)**: -0.165 eV/atom
**V**: 22.48 Å³ per atom
**D(E_F)**: 0.152 states/eV/atom
**Energy**: -307.11 eV/cell
**Space-group type**: R-3m, No. 166

Cell: 10.269 10.269 10.269 Å, 37.49 37.49 37.49°
Atoms (fractional coordinates):
Cs: 0.194 0.194 0.194
Cs: 0.806 0.806 0.806
Ga: 0.182 0.182 0.580
Ga: 0.182 0.580 0.182
Ga: 0.205 0.784 0.784
Ga: 0.216 0.216 0.795
Ga: 0.216 0.795 0.216
Ga: 0.420 0.818 0.818
Ga: 0.456 0.456 0.456
Ga: 0.544 0.544 0.544
Ga: 0.580 0.182 0.182
Ga: 0.784 0.205 0.784
Ga: 0.784 0.784 0.205
Ga: 0.795 0.216 0.216
Ga: 0.818 0.420 0.818
Ga: 0.818 0.818 0.420